An optimized crystal structure of ErTm3Pu3S8, computed with GGA-PBE.

```
15
Lattice="3.889 2.245 6.397 -3.889 2.245 6.397 0.000 -4.490 6.397" Properties=species:S:1:pos:R:3 pbc="T T T"
Er 0.000 0.000 0.000
Tm -1.944 -1.123 6.397
Tm -1.944 1.123 12.793
Tm 0.000 2.245 6.397
Pu -3.889 0.000 9.595
Pu -1.944 1.123 3.198
Pu 1.944 1.123 3.198
S 0.000 -2.230 7.939
S -1.931 1.115 7.939
S 0.000 0.000 4.846
S -1.931 -1.115 11.251
S 1.931 1.115 7.939
S 0.000 0.000 14.344
S 1.931 -1.115 11.251
S 0.000 2.230 11.251
```

E_form (uncorrected)   -1.9286 eV/atom
Total magnetization   17.07 μB per cell
Total energy   -8.19 eV/atom
Symmetry   R-3m (166)